<one>
Material: SbBrCl3
Method: DFT, GGA-PBE
State: relaxed

Cell and atoms, written as POSCAR:
```
SbBrCl3
1.0
7.364 0.000 0.000
1.571 7.464 0.000
2.119 -0.363 7.476
Sb Br Cl
2 2 6
Direct
0.000 0.000 0.000
0.010 0.508 0.743
0.274 0.379 0.467
0.718 0.839 0.053
0.158 0.811 0.706
0.173 0.781 0.148
0.264 0.149 0.908
0.771 0.617 0.597
0.833 0.207 0.808
0.846 0.199 0.251
```

Summary:
* total moment: 0.00 Bohr magnetons per cell



<two>
Material: SbBrCl3
Method: DFT, GGA-PBE
State: relaxed

Cell and atoms, written as POSCAR:
```
SbBrCl3
1.0
5.309 0.000 0.000
0.000 5.309 0.000
0.000 0.000 5.309
Sb Br Cl
1 1 3
Direct
0.000 0.000 0.000
0.500 0.500 0.500
0.000 0.000 0.500
0.000 0.500 0.000
0.500 0.000 0.000
```

Summary:
* total moment: 0.98 Bohr magnetons per cell



Most stable: <one> (next structure +0.329 eV/atom)